[1]
First-principles (meta-GGA SCAN) data for ThIn3 at its PBEsol-relaxed geometry, as listed in Alexandria via LeMat-Bulk.

a b c (Å): 4.6616 4.6616 4.6616
angles (deg): 90.00 90.00 90.00
Closest atoms and distances in Å follow each position.
Fractional positions:
Th (0.0000, 0.0000, 0.0000)  12 In 3.30
In (0.5000, 0.0000, 0.5000)  8 In 3.30, 4 Th 3.30
In (0.0000, 0.5000, 0.5000)  8 In 3.30, 4 Th 3.30
In (0.5000, 0.5000, 0.0000)  8 In 3.30, 4 Th 3.30

Values from the calculation:
Crystal system: cubic

---

[2]
First-principles (meta-GGA SCAN) data for SrZrCo2 at its PBEsol-relaxed geometry, as listed in Alexandria via LeMat-Bulk.

a b c (Å): 3.8479 3.8479 7.2233
angles (deg): 74.55 74.55 60.00
Closest atoms and distances in Å follow each position.
Fractional positions:
Sr (0.4836, 0.4836, 0.5491)  6 Co 3.15-3.16
Co (0.0423, 0.0423, 0.8731)  3 Co 2.22
Co (0.7078, 0.7078, 0.8767)  3 Co 2.22
Zr (0.3076, 0.3076, 0.0773)  6 Co 2.61-2.63

Values from the calculation:
Crystal system: trigonal

---

[3]
First-principles (meta-GGA SCAN) data for LiReW at its PBEsol-relaxed geometry, as listed in Alexandria via LeMat-Bulk.

a b c (Å): 4.1647 4.1647 4.1647
angles (deg): 60.00 60.00 60.00
Closest atoms and distances in Å follow each position.
Fractional positions:
Li (0.0000, 0.0000, 0.0000)  4 W 2.55
Re (0.5000, 0.5000, 0.5000)  4 W 2.55
W (0.2500, 0.2500, 0.2500)  4 Li 2.55, 4 Re 2.55

Values from the calculation:
Crystal system: cubic

---

no.,magnetization (μB per formula unit),energy of formation (eV/atom),D(E_F) (states/eV per atom)
1,0.0,-0.417,0.3692
2,0.3,0.173,0.7811
3,0.0,1.005,0.2016